Entry 1:
DFT (PBE-GGA) results for crystalline B7C5 at its relaxed geometry.

Geometry as POSCAR:
```
B7C5
1.0
5.742 -0.029 -1.260
5.125 2.590 -1.260
0.118 0.028 5.536
B C
7 5
Direct
0.328 0.328 0.685 B
0.662 0.662 0.331 B
0.895 0.895 0.571 B
0.039 0.039 0.131 B
0.893 0.893 0.221 B
0.276 0.276 0.375 B
0.576 0.576 0.574 B
0.326 0.326 0.130 C
0.661 0.661 0.848 C
0.243 0.243 0.877 C
0.013 0.013 0.451 C
0.589 0.589 0.056 C
```

Summary:
spin magnetization = 0.0 μB per cell
DFT total energy = -7.3385 eV/atom
SG = Cm
ΔH_f (0 K) = 0.400 eV/atom
volume = 6.965 Å³ per atom
energy above the most stable polymorph in this dataset = 2.83 eV/f.u.

---

Entry 2:
DFT (PBE-GGA) results for crystalline B3C2 at its relaxed geometry.

Geometry as POSCAR:
```
B3C2
1.0
-2.823 -1.784 2.662
-0.419 -2.083 3.704
-1.036 4.862 3.786
B C
6 4
Direct
0.184 0.184 0.572 B
0.816 0.816 0.428 B
0.384 0.384 0.052 B
0.616 0.616 0.948 B
0.043 0.043 0.363 B
0.957 0.957 0.637 B
0.803 0.803 0.174 C
0.606 0.606 0.218 C
0.197 0.197 0.826 C
0.394 0.394 0.782 C
```

Summary:
spin magnetization = 0.0 μB per cell
DFT total energy = -7.3126 eV/atom
SG = C2/m
ΔH_f (0 K) = 0.383 eV/atom
volume = 6.595 Å³ per atom
energy above the most stable polymorph in this dataset = 0.86 eV/f.u.